LiMg3Ga2 | PBE | relaxed

Cell: 3.861 4.435 7.115 Å, 108.16 90.00 90.00°
Element x y z (fractional)
Mg1 0.500 0.831 0.661
Mg2 0.500 0.169 0.339
Ga1 0.000 0.335 0.671
Li1 0.000 0.000 0.000
Mg3 0.500 0.500 0.000
Ga2 0.000 0.665 0.329

Output
- total magnetic moment (μB/cell) = 0.00
- theoretical density (g cm⁻³) = 3.15
- energy of formation from the pure elements (eV/f.u.) = -0.87
- D(E_F) (states/eV per cell) = 1.79
- total energy (eV per atom) = -2.2709